1.
Entry from Alexandria: a geometry-optimized Sc3BiSe structure (PBE-GGA).

**Relative energy among the computed polymorphs**: 0.000 eV/atom
**Formation energy (no corrections)**: -823.4 meV per atom

abc: 8.4018 6.3258 9.8775
angles: 90.00 111.62 90.00
Last column: nearest neighbours and their distance in Å.
Fractional positions:
Sc 0.0340 0.1087 0.3216  3 Se 2.62-2.70
Sc 0.0340 0.3913 0.8216  3 Se 2.62-2.70
Sc 0.1925 0.5747 0.5277  2 Se 2.57-2.71
Sc 0.1925 0.9253 0.0277  2 Se 2.57-2.71
Sc 0.4022 0.1793 0.8400  1 Se 2.73
Sc 0.4022 0.3207 0.3400  1 Se 2.73
Sc 0.5978 0.6793 0.6600  1 Se 2.73
Sc 0.5978 0.8207 0.1600  1 Se 2.73
Sc 0.8075 0.0747 0.9723  2 Se 2.57-2.71
Sc 0.8075 0.4253 0.4723  2 Se 2.57-2.71
Sc 0.9660 0.6087 0.1784  3 Se 2.62-2.70
Sc 0.9660 0.8913 0.6784  3 Se 2.62-2.70
Bi 0.3547 0.6872 0.8442  8 Sc 3.00-3.33
Bi 0.3547 0.8128 0.3442  8 Sc 3.00-3.33
Bi 0.6453 0.1872 0.6558  8 Sc 3.00-3.33
Bi 0.6453 0.3128 0.1558  8 Sc 3.00-3.33
Se 0.1069 0.2159 0.6015  6 Sc 2.57-2.73
Se 0.1069 0.2841 0.1015  6 Sc 2.57-2.73
Se 0.8931 0.7159 0.8985  6 Sc 2.57-2.73
Se 0.8931 0.7841 0.3985  6 Sc 2.57-2.73

=====

2.
Entry from Alexandria: a geometry-optimized Sc3BiSe structure (PBE-GGA).

**Relative energy among the computed polymorphs**: 0.254 eV/atom
**Formation energy (no corrections)**: -569.0 meV per atom

abc: 5.0337 5.0337 5.0337
angles: 90.00 90.00 90.00
Last column: nearest neighbours and their distance in Å.
Fractional positions:
Sc 0.0000 0.0000 0.5000  2 Se 2.52
Sc 0.0000 0.5000 0.0000  2 Se 2.52
Sc 0.5000 0.0000 0.0000  2 Se 2.52
Bi 0.5000 0.5000 0.5000  12 Sc 3.56
Se 0.0000 0.0000 0.0000  6 Sc 2.52

=====

3.
Entry from Alexandria: a geometry-optimized Sc4BiSe2 structure (PBE-GGA).

**Relative energy among the computed polymorphs**: 0.000 eV/atom
**Formation energy (no corrections)**: -1125.8 meV per atom

abc: 6.6383 6.6383 12.8222
angles: 90.00 90.00 145.36
Last column: nearest neighbours and their distance in Å.
Fractional positions:
Sc 0.0000 0.0000 0.0000  4 Se 2.71
Sc 0.0000 0.0000 0.5000  4 Se 2.71
Sc 0.2634 0.7366 0.6226  3 Se 2.63-2.70
Sc 0.2634 0.7366 0.8774  3 Se 2.63-2.70
Sc 0.4278 0.5722 0.2500  2 Se 2.61
Sc 0.5722 0.4278 0.7500  2 Se 2.61
Sc 0.7366 0.2634 0.1226  3 Se 2.63-2.70
Sc 0.7366 0.2634 0.3774  3 Se 2.63-2.70
Bi 0.1035 0.8965 0.2500  6 Sc 2.98-3.07
Bi 0.8965 0.1035 0.7500  6 Sc 2.98-3.07
Se 0.3655 0.6345 0.0563  6 Sc 2.61-2.71
Se 0.3655 0.6345 0.4437  6 Sc 2.61-2.71
Se 0.6345 0.3655 0.5563  6 Sc 2.61-2.71
Se 0.6345 0.3655 0.9437  6 Sc 2.61-2.71

=====

4.
Entry from Alexandria: a geometry-optimized ScBi2Se structure (PBE-GGA).

**Formation energy (no corrections)**: -315.7 meV per atom

abc: 4.3270 4.3270 24.2067
angles: 90.00 90.00 90.00
Last column: nearest neighbours and their distance in Å.
Fractional positions:
Sc 0.0000 0.0000 0.0000  4 Se 3.06, 4 Bi 3.38
Sc 0.0000 0.5000 0.2500  4 Se 3.06, 4 Bi 3.38
Sc 0.5000 0.0000 0.7500  4 Se 3.06, 4 Bi 3.38
Sc 0.5000 0.5000 0.5000  4 Se 3.06, 4 Bi 3.38
Bi 0.2395 0.2500 0.1250  4 Bi 3.00-3.12
Bi 0.2500 0.7395 0.3750  4 Bi 3.00-3.12
Bi 0.2500 0.7605 0.8750  4 Bi 3.00-3.12
Bi 0.2605 0.2500 0.6250  4 Bi 3.00-3.12
Bi 0.7395 0.7500 0.6250  4 Bi 3.00-3.12
Bi 0.7500 0.2395 0.8750  4 Bi 3.00-3.12
Bi 0.7500 0.2605 0.3750  4 Bi 3.00-3.12
Bi 0.7605 0.7500 0.1250  4 Bi 3.00-3.12
Se 0.0000 0.0000 0.5000  4 Sc 3.06, 4 Bi 3.41
Se 0.0000 0.5000 0.7500  4 Sc 3.06, 4 Bi 3.41
Se 0.5000 0.0000 0.2500  4 Sc 3.06, 4 Bi 3.41
Se 0.5000 0.5000 0.0000  4 Sc 3.06, 4 Bi 3.41